[1]
A plane-wave DFT calculation with GGA-PBE was carried out for a geometry-optimized HfScCoPt structure.

The structure in CIF format:
```
data_HfScCoPt
_chemical_formula_sum 'Hf4 Sc4 Co4 Pt4'
_symmetry_space_group_name_H-M 'F -4 3 m'
_symmetry_Int_Tables_number 216
_symmetry_space_group_name_Hall 'F -4 2 3'
_cell_length_a 6.477
_cell_length_b 6.477
_cell_length_c 6.477
_cell_angle_alpha 90.00
_cell_angle_beta 90.00
_cell_angle_gamma 90.00
loop_
_atom_site_label
_atom_site_type_symbol
_atom_site_fract_x
_atom_site_fract_y
_atom_site_fract_z
Hf1 Hf 0.000 0.000 0.000
Sc1 Sc 0.000 0.000 0.500
Co1 Co 0.250 0.250 0.250
Pt1 Pt 0.250 0.250 0.750
```

Computed properties:
Crystal system: cubic
E_form in eV/atom: -0.740
Total moment in μB/atom: 0.147
ρ in g cm⁻³: 11.7

[2]
A plane-wave DFT calculation with GGA-PBE was carried out for a geometry-optimized HfSc2CoPt structure.

The structure in CIF format:
```
data_HfSc2CoPt
_chemical_formula_sum 'Hf1 Sc2 Co1 Pt1'
_symmetry_space_group_name_H-M 'P 4/m m m'
_symmetry_Int_Tables_number 123
_symmetry_space_group_name_Hall '-P 4 2'
_cell_length_a 5.161
_cell_length_b 5.161
_cell_length_c 4.773
_cell_angle_alpha 90.00
_cell_angle_beta 90.00
_cell_angle_gamma 90.00
loop_
_atom_site_label
_atom_site_type_symbol
_atom_site_fract_x
_atom_site_fract_y
_atom_site_fract_z
Hf1 Hf 0.000 0.000 0.000
Sc1 Sc 0.000 0.500 0.000
Co1 Co 0.500 0.500 0.500
Pt1 Pt 0.000 0.000 0.500
```

Computed properties:
Crystal system: tetragonal
E_form in eV/atom: 1.057
Total moment in μB/atom: 0.364
ρ in g cm⁻³: 6.8

[3]
A plane-wave DFT calculation with GGA-PBE was carried out for a geometry-optimized Hf2TiCoPt structure.

The structure in CIF format:
```
data_Hf2TiCoPt
_chemical_formula_sum 'Hf2 Ti1 Co1 Pt1'
_symmetry_space_group_name_H-M 'P 4/m m m'
_symmetry_Int_Tables_number 123
_symmetry_space_group_name_Hall '-P 4 2'
_cell_length_a 5.003
_cell_length_b 5.003
_cell_length_c 4.612
_cell_angle_alpha 90.00
_cell_angle_beta 90.00
_cell_angle_gamma 90.00
loop_
_atom_site_label
_atom_site_type_symbol
_atom_site_fract_x
_atom_site_fract_y
_atom_site_fract_z
Hf1 Hf 0.000 0.500 0.000
Ti1 Ti 0.000 0.000 0.500
Co1 Co 0.500 0.500 0.500
Pt1 Pt 0.500 0.500 0.000
```

Computed properties:
Crystal system: tetragonal
E_form in eV/atom: 0.641
Total moment in μB/atom: 0.803
ρ in g cm⁻³: 9.5

[4]
A plane-wave DFT calculation with GGA-PBE was carried out for a geometry-optimized TmHfCoPt structure.

The structure in CIF format:
```
data_TmHfCoPt
_chemical_formula_sum 'Tm4 Hf4 Co4 Pt4'
_symmetry_space_group_name_H-M 'F -4 3 m'
_symmetry_Int_Tables_number 216
_symmetry_space_group_name_Hall 'F -4 2 3'
_cell_length_a 6.627
_cell_length_b 6.627
_cell_length_c 6.627
_cell_angle_alpha 90.00
_cell_angle_beta 90.00
_cell_angle_gamma 90.00
loop_
_atom_site_label
_atom_site_type_symbol
_atom_site_fract_x
_atom_site_fract_y
_atom_site_fract_z
Tm1 Tm 0.000 0.000 0.000
Hf1 Hf 0.000 0.000 0.500
Co1 Co 0.250 0.250 0.250
Pt1 Pt 0.250 0.250 0.750
```

Computed properties:
Crystal system: cubic
E_form in eV/atom: -0.669
Total moment in μB/atom: 0.141
ρ in g cm⁻³: 13.7

[5]
A plane-wave DFT calculation with GGA-PBE was carried out for a geometry-optimized HfZnCoPt structure.

The structure in CIF format:
```
data_HfZnCoPt
_chemical_formula_sum 'Hf4 Zn4 Co4 Pt4'
_symmetry_space_group_name_H-M 'F -4 3 m'
_symmetry_Int_Tables_number 216
_symmetry_space_group_name_Hall 'F -4 2 3'
_cell_length_a 6.248
_cell_length_b 6.248
_cell_length_c 6.248
_cell_angle_alpha 90.00
_cell_angle_beta 90.00
_cell_angle_gamma 90.00
loop_
_atom_site_label
_atom_site_type_symbol
_atom_site_fract_x
_atom_site_fract_y
_atom_site_fract_z
Hf1 Hf 0.000 0.000 0.000
Zn1 Zn 0.000 0.000 0.500
Co1 Co 0.250 0.250 0.250
Pt1 Pt 0.250 0.250 0.750
```

Computed properties:
E above lowest polymorph in meV per atom: 22.6
Crystal system: cubic
E_form in eV/atom: -0.593
Total moment in μB/atom: 0.228
ρ in g cm⁻³: 13.6

[6]
A plane-wave DFT calculation with GGA-PBE was carried out for a geometry-optimized HfZnCoPt structure.

The structure in CIF format:
```
data_HfZnCoPt
_chemical_formula_sum 'Hf2 Zn2 Co2 Pt2'
_symmetry_space_group_name_H-M 'I -4 m 2'
_symmetry_Int_Tables_number 119
_symmetry_space_group_name_Hall 'I -4 -2'
_cell_length_a 4.105
_cell_length_b 4.105
_cell_length_c 7.143
_cell_angle_alpha 90.00
_cell_angle_beta 90.00
_cell_angle_gamma 90.00
loop_
_atom_site_label
_atom_site_type_symbol
_atom_site_fract_x
_atom_site_fract_y
_atom_site_fract_z
Hf1 Hf 0.000 0.000 0.000
Zn1 Zn 0.000 0.000 0.500
Co1 Co 0.000 0.500 0.250
Pt1 Pt 0.000 0.500 0.750
```

Computed properties:
E above lowest polymorph in meV per atom: 0.0
Crystal system: tetragonal
E_form in eV/atom: -0.616
Total moment in μB/atom: 0.000
ρ in g cm⁻³: 13.7

[7]
A plane-wave DFT calculation with GGA-PBE was carried out for a geometry-optimized PuHfCo2 structure.

The structure in CIF format:
```
data_PuHfCo2
_chemical_formula_sum 'Pu1 Hf1 Co2'
_symmetry_space_group_name_H-M 'P 4/m m m'
_symmetry_Int_Tables_number 123
_symmetry_space_group_name_Hall '-P 4 2'
_cell_length_a 3.152
_cell_length_b 3.152
_cell_length_c 6.765
_cell_angle_alpha 90.00
_cell_angle_beta 90.00
_cell_angle_gamma 90.00
loop_
_atom_site_label
_atom_site_type_symbol
_atom_site_fract_x
_atom_site_fract_y
_atom_site_fract_z
Pu1 Pu 0.000 0.000 0.000
Hf1 Hf 0.000 0.000 0.500
Co1 Co 0.500 0.500 0.283
```

Computed properties:
E above lowest polymorph in meV per atom: 0.0
Crystal system: tetragonal
E_form in eV/atom: -0.145
Total moment in μB/atom: 1.135
ρ in g cm⁻³: 13.4

[8]
A plane-wave DFT calculation with GGA-PBE was carried out for a geometry-optimized Pu2HfCo9 structure.

The structure in CIF format:
```
data_Pu2HfCo9
_chemical_formula_sum 'Pu6 Hf3 Co27'
_symmetry_space_group_name_H-M 'R -3 m'
_symmetry_Int_Tables_number 166
_symmetry_space_group_name_Hall '-R 3 2"'
_cell_length_a 4.8242
_cell_length_b 4.8242
_cell_length_c 24.5164
_cell_angle_alpha 90.00
_cell_angle_beta 90.00
_cell_angle_gamma 120.00
loop_
_atom_site_label
_atom_site_type_symbol
_atom_site_fract_x
_atom_site_fract_y
_atom_site_fract_z
Pu1 Pu 0.0000 0.0000 0.1388
Hf1 Hf 0.0000 0.0000 0.0000
Co1 Co 0.0000 0.0000 0.3334
Co2 Co 0.0000 0.0000 0.5000
Co3 Co 0.0000 0.5000 0.0803
```

Computed properties:
Crystal system: trigonal
E_form in eV/atom: -0.161
Total moment in μB/atom: 0.013
ρ in g cm⁻³: 12.1

[9]
A plane-wave DFT calculation with GGA-PBE was carried out for a geometry-optimized PuHfCo2 structure.

The structure in CIF format:
```
data_PuHfCo2
_chemical_formula_sum 'Pu4 Hf4 Co8'
_symmetry_space_group_name_H-M 'F m -3 m'
_symmetry_Int_Tables_number 225
_symmetry_space_group_name_Hall '-F 4 2 3'
_cell_length_a 6.454
_cell_length_b 6.454
_cell_length_c 6.454
_cell_angle_alpha 90.00
_cell_angle_beta 90.00
_cell_angle_gamma 90.00
loop_
_atom_site_label
_atom_site_type_symbol
_atom_site_fract_x
_atom_site_fract_y
_atom_site_fract_z
Pu1 Pu 0.000 0.000 0.000
Hf1 Hf 0.000 0.000 0.500
Co1 Co 0.250 0.250 0.250
```

Computed properties:
E above lowest polymorph in meV per atom: 66.8
Crystal system: cubic
E_form in eV/atom: -0.079
Total moment in μB/atom: 0.948
ρ in g cm⁻³: 13.4

[10]
A plane-wave DFT calculation with GGA-PBE was carried out for a geometry-optimized PuHfCoRe structure.

The structure in CIF format:
```
data_PuHfCoRe
_chemical_formula_sum 'Pu4 Hf4 Co4 Re4'
_symmetry_space_group_name_H-M 'F -4 3 m'
_symmetry_Int_Tables_number 216
_symmetry_space_group_name_Hall 'F -4 2 3'
_cell_length_a 6.573
_cell_length_b 6.573
_cell_length_c 6.573
_cell_angle_alpha 90.00
_cell_angle_beta 90.00
_cell_angle_gamma 90.00
loop_
_atom_site_label
_atom_site_type_symbol
_atom_site_fract_x
_atom_site_fract_y
_atom_site_fract_z
Pu1 Pu 0.000 0.000 0.000
Hf1 Hf 0.000 0.000 0.500
Co1 Co 0.250 0.250 0.250
Re1 Re 0.250 0.250 0.750
```

Computed properties:
Crystal system: cubic
E_form in eV/atom: -0.074
Total moment in μB/atom: 0.899
ρ in g cm⁻³: 15.6